MnP2O8: relaxed, GGA+U.

abc: 5.118 5.118 13.793
angles: 74.76 74.76 56.98
Each line ends with the local moment (μB).
Atoms (fractional coordinates):
Mn1 0.000 0.000 0.500  3.13
O1 0.824 0.233 0.113  -0.05
O2 0.484 0.343 0.773  -0.04
O3 0.176 0.767 0.887  -0.05
O4 0.343 0.484 0.273  -0.04
O5 0.779 0.406 0.541  0.00
O6 0.221 0.594 0.459  0.00
P1 0.591 0.659 0.609  0.01
O7 0.767 0.176 0.387  -0.05
P2 0.409 0.341 0.391  0.01
O8 0.594 0.221 0.959  0.00
O9 0.692 0.904 0.587  -0.04
O10 0.406 0.779 0.041  0.00
O11 0.096 0.308 0.913  -0.04
O12 0.233 0.824 0.613  -0.05
O13 0.308 0.096 0.413  -0.04
O14 0.657 0.516 0.727  -0.04
O15 0.904 0.692 0.087  -0.04
Mn2 0.000 0.000 0.000  3.13
P3 0.341 0.409 0.891  0.01
O16 0.516 0.657 0.227  -0.04
P4 0.659 0.591 0.109  0.01

Summary:
**VASP energy**: -150.96 eV per cell
**E above lowest polymorph**: 0.000 eV per formula unit